No. 1
This record from Alexandria via LeMat-Bulk describes AcSm6ErTm2 after structural relaxation. The functional is GGA-PBE.

```
AcSm6ErTm2
1.0
-1.5922 9.4535 0.5932
-4.7055 -0.7462 -7.5921
-4.3492 -1.6433 7.6631
Sm Er Tm Ac
12 2 4 2
direct
0.9451 0.8769 0.2444
0.3177 0.9939 0.4482
0.5549 0.7556 0.1231
0.6168 0.4864 0.7104
0.6823 0.0061 0.5518
0.8177 0.4482 0.9939
0.3832 0.5136 0.2896
0.1823 0.5518 0.0061
0.0549 0.1231 0.7556
0.8832 0.2896 0.5136
0.1168 0.7104 0.4864
0.4451 0.2444 0.8769
0.2500 0.4131 0.5869
0.7500 0.5869 0.4131
0.5493 0.2072 0.3158
0.0493 0.3158 0.2072
0.9507 0.6842 0.7928
0.4507 0.7928 0.6842
0.2500 0.9696 0.0304
0.7500 0.0304 0.9696
```

Properties
* magnetization: 0.000 μB per cell
* raw total energy: -0.328 Ry/atom
* formation energy from the elements: 124 meV per atom

=====

No. 2
This record from Alexandria via LeMat-Bulk describes Cs2SrHoCl6 after structural relaxation. The functional is GGA-PBE.

```
Cs2SrHoCl6
1.0
7.8558 0.0000 0.0000
0.0000 7.8579 0.0000
0.0000 0.0000 11.1150
Cl Cs Sr Ho
12 4 2 2
direct
0.2412 0.5110 0.0000
0.2595 0.0073 0.5000
0.5000 0.2497 0.7409
0.7405 0.0073 0.5000
0.0000 0.7503 0.7591
0.7412 0.4890 0.5000
0.0000 0.7503 0.2409
0.2588 0.4890 0.5000
0.7588 0.5110 0.0000
0.2405 0.9927 0.0000
0.7595 0.9927 0.0000
0.5000 0.2497 0.2591
0.0000 0.2490 0.7499
0.5000 0.7510 0.7501
0.0000 0.2490 0.2501
0.5000 0.7510 0.2499
0.0000 0.7485 0.5000
0.5000 0.2515 0.0000
0.0000 0.7513 0.0000
0.5000 0.2487 0.5000
```

Properties
* magnetization: 1.230 μB per cell
* raw total energy: -0.293 Ry/atom
* formation energy without anion corrections: -2075 meV/atom

=====

No. 3
This record from Alexandria via LeMat-Bulk describes HgH after structural relaxation. The functional is GGA-PBE.

```
HgH
1.0
9.0912 0.0000 0.0000
-4.5456 7.8732 0.0000
0.0000 0.0000 3.2473
Hg H
6 6
direct
0.5950 0.9443 0.7500
0.4050 0.0557 0.2500
0.3493 0.4050 0.7500
0.0557 0.6507 0.7500
0.9443 0.3493 0.2500
0.6507 0.5950 0.2500
0.6786 0.8083 0.7500
0.1297 0.3214 0.7500
0.1917 0.8703 0.7500
0.8703 0.6786 0.2500
0.3214 0.1917 0.2500
0.8083 0.1297 0.2500
```

Properties
* magnetization: 0.000 μB per cell
* raw total energy: -0.105 Ry/atom
* excess energy over the best structure of this formula in the dataset: 0.371 eV/atom

=====

No. 4
This record from Alexandria via LeMat-Bulk describes LaY6Th after structural relaxation. The functional is GGA-PBE.

```
LaY6Th
1.0
-3.2549 -2.8249 2.6918
3.6777 -3.3923 0.8870
2.6180 5.0523 8.4676
La Y Th
1 6 1
direct
0.0000 0.0000 0.0000
0.0000 0.5000 0.2564
0.5000 0.0000 0.7436
0.5000 0.5000 0.0000
0.5000 0.0000 0.2564
0.0000 0.5000 0.7436
0.5000 0.5000 0.5000
0.0000 0.0000 0.5000
```

Properties
* magnetization: 0.014 μB per cell
* raw total energy: -0.467 Ry/atom
* formation energy from the elements: 34 meV per atom

=====

No. 5
This record from Alexandria via LeMat-Bulk describes Hf3In after structural relaxation. The functional is GGA-PBE.

```
Hf3In
1.0
-1.3689 2.8023 -3.8713
-1.2556 -2.1489 -4.3034
-4.7396 0.0225 -1.4997
Hf In
3 1
direct
0.2500 0.2500 0.2500
0.7500 0.7500 0.7500
0.0000 0.0000 0.0000
0.5000 0.5000 0.5000
```

Properties
* magnetization: 0.721 μB per cell
* raw total energy: -0.595 Ry/atom
* formation energy from the elements: 52 meV per atom

=====

No. 6
This record from Alexandria via LeMat-Bulk describes Mn2VRh4 after structural relaxation. The functional is GGA-PBE.

```
Mn2VRh4
1.0
-1.5097 3.3406 -1.9129
-4.5446 -2.3709 -0.5539
0.0686 2.5851 4.4603
V Rh Mn
1 4 2
direct
0.5000 0.5000 0.5000
0.0000 0.2419 0.2419
0.0000 0.7581 0.7581
0.5000 0.0000 0.5000
0.5000 0.5000 0.0000
0.0000 0.2503 0.7497
0.0000 0.7497 0.2503
```

Properties
* magnetization: 7.502 μB per cell
* raw total energy: -0.601 Ry/atom
* formation energy from the elements: -55 meV per atom

=====

No. 7
This record from Alexandria via LeMat-Bulk describes SrHfIn2 after structural relaxation. The functional is GGA-PBE.

```
SrHfIn2
1.0
5.2670 0.0000 0.0000
0.0000 5.2670 0.0000
2.6335 2.6335 9.9742
Hf In Sr
2 4 2
direct
0.7500 0.2500 0.5000
0.0000 0.0000 0.0000
0.7233 0.1250 0.2500
0.0267 0.6250 0.2500
0.3750 0.2767 0.7500
0.8750 0.9733 0.7500
0.2500 0.7500 0.5000
0.5000 0.5000 0.0000
```

Properties
* magnetization: 0.000 μB per cell
* raw total energy: -0.286 Ry/atom
* formation energy from the elements: 381 meV per atom
* excess energy over the best structure of this formula in the dataset: 0.568 eV/atom

=====

No. 8
This record from Alexandria via LeMat-Bulk describes MgCoOs2Pt after structural relaxation. The functional is GGA-PBE.

```
MgCoOs2Pt
1.0
4.7855 0.0000 0.0000
0.0000 4.6016 0.0000
0.0000 0.0000 4.7855
Os Mg Pt Co
2 1 1 1
direct
0.0000 0.0000 0.5000
0.5000 0.0000 0.0000
0.5000 0.5000 0.5000
0.0000 0.0000 0.0000
0.0000 0.5000 0.0000
```

Properties
* magnetization: 3.317 μB per cell
* raw total energy: -0.417 Ry/atom
* formation energy from the elements: 1761 meV per atom